No. 1
VASP calculation (PBE) on an optimized crystal structure of Mg2Pt4Au.

```
Mg2Pt4Au
1.0
-2.133 2.925 0.892
-3.011 -1.819 -1.235
1.232 -4.135 8.712
Pt Mg Au
4 2 1
Direct
0.250 0.750 0.500
0.859 0.859 0.718
0.750 0.250 0.500
0.141 0.141 0.282
0.397 0.397 0.794
0.603 0.603 0.206
0.000 0.000 0.000
```

Crystal system   tetragonal
DOS at the Fermi energy   6.0 states/eV per cell
DFT formation energy   -0.325 eV per atom
Calculated total energy   -32.90 eV for the cell shown

No. 2
VASP calculation (PBE) on an optimized crystal structure of V2AgHgS.

```
V2AgHgS
1.0
-1.119 -0.070 4.187
3.774 -2.768 0.963
2.412 3.532 0.704
Ag V Hg S
1 2 1 1
Direct
0.000 0.500 0.000
0.500 0.000 0.000
0.000 0.000 0.500
0.500 0.500 0.500
0.000 0.000 0.000
```

Crystal system   tetragonal
Uncorrected formation energy   0.286 eV per atom
DOS at the Fermi energy   7.1 states/eV per cell
Calculated total energy   -24.09 eV for the cell shown

No. 3
VASP calculation (PBE) on an optimized crystal structure of Ti7CI12.

```
Ti7CI12
1.0
-3.806 3.265 8.194
-7.087 -1.707 -6.256
4.622 -8.230 1.782
I Ti C
12 7 1
Direct
0.066 0.723 0.211
0.277 0.789 0.934
0.366 0.431 0.156
0.211 0.066 0.723
0.723 0.211 0.066
0.431 0.156 0.366
0.569 0.844 0.634
0.634 0.569 0.844
0.934 0.277 0.789
0.156 0.366 0.431
0.789 0.934 0.277
0.844 0.634 0.569
0.760 0.923 0.974
0.923 0.974 0.760
0.974 0.760 0.923
0.077 0.026 0.240
0.500 0.500 0.500
0.026 0.240 0.077
0.240 0.077 0.026
0.000 0.000 0.000
```

Crystal system   trigonal
Uncorrected formation energy   -0.727 eV per atom
DOS at the Fermi energy   14.3 states/eV per cell
Calculated total energy   -97.64 eV for the cell shown

No. 4
VASP calculation (PBE) on an optimized crystal structure of Ti2MnIn2.

```
Ti2MnIn2
1.0
-3.413 3.103 5.237
-3.882 -5.734 0.867
2.529 -1.343 2.444
Ti In Mn
4 4 2
Direct
0.334 0.166 0.500
0.666 0.834 0.500
0.166 0.666 0.500
0.834 0.334 0.500
0.359 0.859 0.000
0.859 0.641 0.000
0.641 0.141 0.000
0.141 0.359 0.000
0.000 0.000 0.000
0.500 0.500 0.000
```

Crystal system   tetragonal
DOS at the Fermi energy   8.6 states/eV per cell
DFT formation energy   0.317 eV per atom
Calculated total energy   -57.70 eV for the cell shown

No. 5
VASP calculation (PBE) on an optimized crystal structure of La2PPb.

```
La2PPb
1.0
3.635 0.000 0.000
0.000 3.635 0.000
0.000 0.000 8.408
P La Pb
1 2 1
Direct
0.500 0.500 0.250
0.000 0.000 0.454
0.000 0.000 0.046
0.500 0.500 0.750
```

Crystal system   tetragonal
Energy above the most stable polymorph in this dataset   0.117 eV per atom
DOS at the Fermi energy   3.3 states/eV per cell
DFT formation energy   -0.939 eV per atom
Calculated total energy   -22.73 eV for the cell shown

No. 6
VASP calculation (PBE) on an optimized crystal structure of VTcIrPt.

```
VTcIrPt
1.0
-3.184 1.732 -1.240
-2.029 -1.786 2.714
0.663 2.976 2.454
Pt V Ir Tc
1 1 1 1
Direct
0.000 0.000 0.000
0.500 0.000 0.500
0.500 0.500 0.000
0.000 0.500 0.500
```

Crystal system   orthorhombic
DOS at the Fermi energy   3.3 states/eV per cell
DFT formation energy   -0.402 eV per atom
Calculated total energy   -35.99 eV for the cell shown

No. 7
VASP calculation (PBE) on an optimized crystal structure of TaHg4.

```
TaHg4
1.0
-5.257 -1.867 -0.135
0.261 -1.131 5.459
-1.854 5.136 1.153
Hg Ta
4 1
Direct
0.500 0.000 0.500
0.000 0.500 0.500
0.500 0.500 0.000
0.000 0.000 0.000
0.500 0.500 0.500
```

Crystal system   cubic
Energy above the most stable polymorph in this dataset   0.431 eV per atom
DOS at the Fermi energy   4.3 states/eV per cell
DFT formation energy   0.791 eV per atom
Calculated total energy   -9.11 eV for the cell shown

No. 8
VASP calculation (PBE) on an optimized crystal structure of ZrCrAgS4.

```
ZrCrAgS4
1.0
6.138 2.550 0.473
-1.038 3.564 -6.763
-5.616 8.842 7.759
S Cr Zr Ag
16 4 4 4
Direct
0.423 0.073 0.883
0.663 0.053 0.645
0.380 0.602 0.891
0.876 0.347 0.883
0.797 0.718 0.350
0.594 0.936 0.116
0.914 0.867 0.890
0.356 0.964 0.380
0.766 0.233 0.356
0.134 0.659 0.112
0.153 0.266 0.649
0.684 0.508 0.634
0.333 0.464 0.357
0.096 0.137 0.115
0.628 0.405 0.115
0.211 0.783 0.621
0.361 0.046 0.704
0.643 0.963 0.295
0.632 0.454 0.285
0.837 0.293 0.711
0.356 0.544 0.703
0.151 0.709 0.299
0.772 0.126 0.000
0.245 0.890 0.000
0.253 0.341 0.999
0.870 0.796 0.690
0.118 0.179 0.317
0.752 0.645 0.001
```

Crystal system   triclinic
Energy above the most stable polymorph in this dataset   0.200 eV per atom
Uncorrected formation energy   -0.714 eV per atom
DOS at the Fermi energy   8.9 states/eV per cell
Calculated total energy   -170.13 eV for the cell shown

No. 9
VASP calculation (PBE) on an optimized crystal structure of ScCu2Tc.

```
ScCu2Tc
1.0
-0.195 -3.202 -2.994
1.953 -3.852 0.777
-2.427 -3.575 0.766
Sc Cu Tc
1 2 1
Direct
0.500 0.500 0.500
0.250 0.250 0.250
0.000 0.000 0.000
0.750 0.750 0.750
```

Crystal system   cubic
Energy above the most stable polymorph in this dataset   0.230 eV per atom
DOS at the Fermi energy   6.5 states/eV per cell
DFT formation energy   0.200 eV per atom
Calculated total energy   -24.09 eV for the cell shown

No. 10
VASP calculation (PBE) on an optimized crystal structure of ZnRe2IrPb.

```
ZnRe2IrPb
1.0
4.994 0.000 0.000
0.000 4.691 0.000
0.000 0.000 4.994
Pb Zn Ir Re
1 1 1 2
Direct
0.000 0.000 0.000
0.000 0.500 0.000
0.500 0.500 0.500
0.500 0.000 0.000
0.000 0.000 0.500
```

Crystal system   tetragonal
Energy above the most stable polymorph in this dataset   0.793 eV per atom
DOS at the Fermi energy   5.7 states/eV per cell
DFT formation energy   3.002 eV per atom
Calculated total energy   -23.73 eV for the cell shown

No. 11
VASP calculation (PBE) on an optimized crystal structure of LaSn3Rh.

```
LaSn3Rh
1.0
5.893 0.000 0.000
0.000 5.893 0.000
0.000 0.000 5.893
Sn Rh La
3 1 1
Direct
0.000 0.000 0.500
0.000 0.500 0.000
0.500 0.000 0.000
0.500 0.500 0.500
0.000 0.000 0.000
```

Crystal system   cubic
DOS at the Fermi energy   10.5 states/eV per cell
DFT formation energy   1.329 eV per atom
Calculated total energy   -17.64 eV for the cell shown

No. 12
VASP calculation (PBE) on an optimized crystal structure of GaWCl3.

```
GaWCl3
1.0
4.966 0.000 0.000
0.000 4.966 0.000
0.000 0.000 4.966
Ga Cl W
1 3 1
Direct
0.500 0.500 0.500
0.000 0.500 0.000
0.500 0.000 0.000
0.000 0.000 0.500
0.000 0.000 0.000
```

Crystal system   cubic
Energy above the most stable polymorph in this dataset   0.000 eV per atom
Uncorrected formation energy   -0.008 eV per atom
DOS at the Fermi energy   2.3 states/eV per cell
Calculated total energy   -21.56 eV for the cell shown

No. 13
VASP calculation (PBE) on an optimized crystal structure of Cs3PdCl6.

```
Cs3PdCl6
1.0
-3.751 -5.822 3.710
-1.613 -3.632 -7.330
9.648 -5.585 0.645
Cs Cl Pd
6 12 2
Direct
0.979 0.435 0.755
0.000 0.000 0.500
0.479 0.065 0.255
0.521 0.935 0.745
0.500 0.500 0.000
0.021 0.565 0.245
0.923 0.977 0.203
0.252 0.342 0.464
0.577 0.477 0.297
0.752 0.158 0.964
0.331 0.765 0.449
0.748 0.658 0.536
0.423 0.523 0.703
0.077 0.023 0.797
0.169 0.265 0.051
0.669 0.235 0.551
0.248 0.842 0.036
0.831 0.735 0.949
0.000 0.000 0.000
0.500 0.500 0.500
```

Crystal system   monoclinic
Energy above the most stable polymorph in this dataset   0.000 eV per atom
Uncorrected formation energy   -1.356 eV per atom
DOS at the Fermi energy   0.6 states/eV per cell
Calculated total energy   -64.78 eV for the cell shown